A relaxed structure of Cr2SiHgO. Source: the Alexandria database, functional GGA+U.

Magnetic moment in μB/atom: 1.809
Calculated total energy in eV per atom: -5.0426

abc: 5.2313 5.2313 3.4689
angles: 90.00 90.00 90.00
Positions (direct):
Cr 0.0000 0.5000 0.0000
Cr 0.5000 0.0000 0.0000
Si 0.0000 0.0000 0.0000
Hg 0.5000 0.5000 0.5000
O 0.0000 0.0000 0.5000